(1)
Computed, not measured: CaZrTiCr2 after structural relaxation at the PBE-GGA level of DFT.

abc: 4.435 4.615 4.435
angles: 90.00 90.00 90.00
Last column: magnetic moment on the atom in μB.
Atoms (fractional coordinates):
1 Ti 0.000 0.500 0.000  0.50
2 Ca 0.000 0.000 0.000  0.10
3 Cr 0.500 0.000 0.000  0.21
4 Cr 0.000 0.000 0.500  0.18
5 Zr 0.500 0.500 0.500  0.00

Summary:
space-group type = No. 123
energy of formation = 1891 meV per atom


(2)
Computed, not measured: CsMgMo2Se after structural relaxation at the PBE-GGA level of DFT.

abc: 4.784 6.237 4.784
angles: 90.00 90.00 90.00
Last column: magnetic moment on the atom in μB.
Atoms (fractional coordinates):
1 Mo 0.000 0.000 0.500  0.38
2 Mo 0.500 0.000 0.000  0.34
3 Cs 0.000 0.500 0.000  0.00
4 Mg 0.500 0.500 0.500  -0.01
5 Se 0.000 0.000 0.000  -0.01

Summary:
space-group type = No. 123
calculated total energy = -4.27 eV/atom


(3)
Computed, not measured: HoZrPdRu after structural relaxation at the PBE-GGA level of DFT.

abc: 4.771 4.771 4.771
angles: 60.00 60.00 60.00
Atoms (fractional coordinates):
1 Zr 0.000 0.000 0.000
2 Ru 0.250 0.250 0.250
3 Pd 0.750 0.750 0.750
4 Ho 0.500 0.500 0.500

Summary:
space-group type = No. 216
energy of formation = -610 meV per atom


(4)
Computed, not measured: ReOs2Pt after structural relaxation at the PBE-GGA level of DFT.

abc: 4.787 4.787 4.763
angles: 80.68 80.68 33.26
Atoms (fractional coordinates):
1 Re 0.255 0.255 0.243
2 Os 0.001 0.001 0.995
3 Os 0.744 0.744 0.765
4 Pt 0.501 0.501 0.497

Summary:
space-group type = No. 8
polymorph energy (0 for the lowest one) = 19 meV per atom
energy of formation = 78 meV per atom